Density functional theory data (PBE+U) for an optimized crystal structure of NaVTeO6.

Lattice parameters (Å, degrees): 5.157 5.157 10.501 90.00 90.00 120.00
Sites, in units of the cell vectors:
V  0.667  0.333  0.250
V  0.333  0.667  0.750
O  0.007  0.386  0.647
O  0.993  0.614  0.353
O  0.386  0.007  0.147
O  0.007  0.620  0.853
O  0.380  0.993  0.647
O  0.620  0.614  0.147
O  0.614  0.993  0.853
O  0.993  0.380  0.147
O  0.614  0.620  0.647
O  0.380  0.386  0.853
O  0.386  0.380  0.353
O  0.620  0.007  0.353
Na  0.000  0.000  0.000
Na  0.000  0.000  0.500
Te  0.333  0.667  0.250
Te  0.667  0.333  0.750

Computed properties:
- Total energy: -6.10 eV/atom